# 1
# InMoPb, relaxed, DFT PBE
# M_tot: 0.000 μB/cell
# E_tot: -5.17 eV/atom
# distance to the lowest polymorph of the same formula: 0.14 eV/f.u.
# ΔE_f: 1.78 eV per formula unit
data_InMoPb
_chemical_formula_sum 'In4 Mo4 Pb4'
_symmetry_space_group_name_H-M 'F m m 2'
_symmetry_Int_Tables_number 42
_symmetry_space_group_name_Hall 'F 2 -2'
_cell_length_a 3.904
_cell_length_b 4.774
_cell_length_c 14.755
_cell_angle_alpha 90.00
_cell_angle_beta 90.00
_cell_angle_gamma 90.00
loop_
_atom_site_label
_atom_site_fract_x
_atom_site_fract_y
_atom_site_fract_z
_atom_site_occupancy
In1 0.000 0.000 0.000 1
Mo1 0.000 0.000 0.358 1
Pb1 0.000 0.000 0.706 1

***

# 2
# CoPWCl2, relaxed, DFT PBE
# M_tot: 2.669 μB/cell
# raw formation energy: 0.83 eV per atom
# E_tot: -5.00 eV/atom
# distance to the lowest polymorph of the same formula: 0.00 eV/f.u.
data_CoPWCl2
_chemical_formula_sum 'Co1 P1 W1 Cl2'
_symmetry_space_group_name_H-M 'P 4/m m m'
_symmetry_Int_Tables_number 123
_symmetry_space_group_name_Hall '-P 4 2'
_cell_length_a 4.738
_cell_length_b 4.738
_cell_length_c 4.826
_cell_angle_alpha 90.00
_cell_angle_beta 90.00
_cell_angle_gamma 90.00
loop_
_atom_site_label
_atom_site_fract_x
_atom_site_fract_y
_atom_site_fract_z
_atom_site_occupancy
Co1 0.000 0.000 0.000 1
P1 0.500 0.500 0.000 1
W1 0.500 0.500 0.500 1
Cl1 0.000 0.500 0.500 1

***

# 3
# Rh2SeCl, relaxed, DFT PBE
# M_tot: 0.000 μB/cell
# raw formation energy: 0.01 eV per atom
# E_tot: -5.00 eV/atom
# distance to the lowest polymorph of the same formula: 0.27 eV/f.u.
data_Rh2SeCl
_chemical_formula_sum 'Rh4 Se2 Cl2'
_symmetry_space_group_name_H-M 'A m m 2'
_symmetry_Int_Tables_number 38
_symmetry_space_group_name_Hall 'A 2 -2'
_cell_length_a 4.100
_cell_length_b 4.756
_cell_length_c 7.525
_cell_angle_alpha 90.00
_cell_angle_beta 90.00
_cell_angle_gamma 90.00
loop_
_atom_site_label
_atom_site_fract_x
_atom_site_fract_y
_atom_site_fract_z
_atom_site_occupancy
Rh1 0.000 0.000 0.000 1
Rh2 0.500 0.000 0.208 1
Se1 0.000 0.000 0.399 1
Cl1 0.500 0.000 0.768 1

***

# 4
# CsInCuSe2, relaxed, DFT PBE
# M_tot: 0.000 μB/cell
# raw formation energy: -0.52 eV per atom
# E_tot: -3.46 eV/atom
data_CsInCuSe2
_chemical_formula_sum 'Cs4 In4 Cu4 Se8'
_symmetry_space_group_name_H-M 'C m m e'
_symmetry_Int_Tables_number 67
_symmetry_space_group_name_Hall '-C 2a 2'
_cell_length_a 7.120
_cell_length_b 14.726
_cell_length_c 6.343
_cell_angle_alpha 90.00
_cell_angle_beta 90.00
_cell_angle_gamma 90.00
loop_
_atom_site_label
_atom_site_fract_x
_atom_site_fract_y
_atom_site_fract_z
_atom_site_occupancy
Cs1 0.000 0.250 0.246 1
In1 0.250 0.000 0.500 1
Cu1 0.000 0.000 0.000 1
Se1 0.000 0.112 0.751 1

***

# 5
# SmDy12Al4N3, relaxed, DFT PBE
# M_tot: 0.000 μB/cell
# raw formation energy: -0.37 eV per atom
# E_tot: -5.37 eV/atom
data_SmDy12Al4N3
_chemical_formula_sum 'Sm2 Dy24 Al8 N6'
_symmetry_space_group_name_H-M 'I m -3 m'
_symmetry_Int_Tables_number 229
_symmetry_space_group_name_Hall '-I 4 2 3'
_cell_length_a 9.814
_cell_length_b 9.814
_cell_length_c 9.814
_cell_angle_alpha 90.00
_cell_angle_beta 90.00
_cell_angle_gamma 90.00
loop_
_atom_site_label
_atom_site_fract_x
_atom_site_fract_y
_atom_site_fract_z
_atom_site_occupancy
Sm1 0.000 0.000 0.000 1
Dy1 0.000 0.000 0.274 1
Dy2 0.000 0.250 0.500 1
Al1 0.250 0.250 0.250 1
N1 0.000 0.000 0.500 1

***

# 6
# CePr2Co2, relaxed, DFT PBE
# M_tot: 0.000 μB/cell
# E_tot: -6.08 eV/atom
# distance to the lowest polymorph of the same formula: 0.00 eV/f.u.
# ΔE_f: -0.71 eV per formula unit
data_CePr2Co2
_chemical_formula_sum 'Ce4 Pr8 Co8'
_symmetry_space_group_name_H-M 'C 1 2/c 1'
_symmetry_Int_Tables_number 15
_symmetry_space_group_name_Hall '-C 2yc'
_cell_length_a 10.488
_cell_length_b 6.354
_cell_length_c 7.014
_cell_angle_alpha 90.00
_cell_angle_beta 96.76
_cell_angle_gamma 90.00
loop_
_atom_site_label
_atom_site_fract_x
_atom_site_fract_y
_atom_site_fract_z
_atom_site_occupancy
Ce1 0.000 0.083 0.250 1
Pr1 0.152 0.390 0.648 1
Co1 0.150 0.153 0.026 1

***

# 7
# ZrBe2Cd, relaxed, DFT PBE
# M_tot: 0.000 μB/cell
# E_tot: -4.13 eV/atom
# ΔE_f: 0.40 eV per formula unit
data_ZrBe2Cd
_chemical_formula_sum 'Zr1 Be2 Cd1'
_symmetry_space_group_name_H-M 'P 4/m m m'
_symmetry_Int_Tables_number 123
_symmetry_space_group_name_Hall '-P 4 2'
_cell_length_a 4.298
_cell_length_b 4.298
_cell_length_c 3.358
_cell_angle_alpha 90.00
_cell_angle_beta 90.00
_cell_angle_gamma 90.00
loop_
_atom_site_label
_atom_site_fract_x
_atom_site_fract_y
_atom_site_fract_z
_atom_site_occupancy
Zr1 0.000 0.000 0.000 1
Be1 0.000 0.500 0.500 1
Cd1 0.500 0.500 0.000 1

***

# 8
# La3TbSm, relaxed, DFT PBE
# M_tot: 0.000 μB/cell
# E_tot: -4.55 eV/atom
# distance to the lowest polymorph of the same formula: 1.11 eV/f.u.
# ΔE_f: 1.37 eV per formula unit
data_La3TbSm
_chemical_formula_sum 'La6 Tb2 Sm2'
_symmetry_space_group_name_H-M 'P 63/m m c'
_symmetry_Int_Tables_number 194
_symmetry_space_group_name_Hall '-P 6c 2c'
_cell_length_a 7.9243
_cell_length_b 7.9243
_cell_length_c 6.7128
_cell_angle_alpha 90.00
_cell_angle_beta 90.00
_cell_angle_gamma 120.00
loop_
_atom_site_label
_atom_site_fract_x
_atom_site_fract_y
_atom_site_fract_z
_atom_site_occupancy
La1 0.1994 0.3987 0.2500 1
Tb1 0.3333 0.6667 0.7500 1
Sm1 0.0000 0.0000 0.0000 1

***

# 9
# PrZrCu, relaxed, DFT PBE
# M_tot: 0.000 μB/cell
# E_tot: -5.87 eV/atom
# distance to the lowest polymorph of the same formula: 0.00 eV/f.u.
# ΔE_f: -0.19 eV per formula unit
data_PrZrCu
_chemical_formula_sum 'Pr2 Zr2 Cu2'
_symmetry_space_group_name_H-M 'P 4/n m m'
_symmetry_Int_Tables_number 129
_cell_length_a 4.535
_cell_length_b 4.535
_cell_length_c 7.028
_cell_angle_alpha 90.00
_cell_angle_beta 90.00
_cell_angle_gamma 90.00
loop_
_symmetry_equiv_pos_as_xyz
'x,y,z'
'-x,-y,-z'
'-y+1/2,x,z'
'y+1/2,-x,-z'
'-x+1/2,-y+1/2,z'
'x+1/2,y+1/2,-z'
'y,-x+1/2,z'
'-y,x+1/2,-z'
'x+1/2,-y,-z'
'-x+1/2,y,z'
'-y,-x,-z'
'y,x,z'
'-x,y+1/2,-z'
'x,-y+1/2,z'
'y+1/2,x+1/2,-z'
'-y+1/2,-x+1/2,z'
loop_
_atom_site_label
_atom_site_fract_x
_atom_site_fract_y
_atom_site_fract_z
_atom_site_occupancy
Pr1 0.250 0.250 0.126 1
Zr1 0.250 0.750 0.500 1
Cu1 0.250 0.250 0.723 1

***

# 10
# ZnCu2Pb2, relaxed, DFT PBE
# M_tot: 0.000 μB/cell
# E_tot: -3.14 eV/atom
# distance to the lowest polymorph of the same formula: 0.24 eV/f.u.
# ΔE_f: 1.19 eV per formula unit
data_ZnCu2Pb2
_chemical_formula_sum 'Zn2 Cu4 Pb4'
_symmetry_space_group_name_H-M 'I 4/m m m'
_symmetry_Int_Tables_number 139
_symmetry_space_group_name_Hall '-I 4 2'
_cell_length_a 3.502
_cell_length_b 3.502
_cell_length_c 17.256
_cell_angle_alpha 90.00
_cell_angle_beta 90.00
_cell_angle_gamma 90.00
loop_
_atom_site_label
_atom_site_fract_x
_atom_site_fract_y
_atom_site_fract_z
_atom_site_occupancy
Zn1 0.000 0.000 0.000 1
Cu1 0.000 0.500 0.250 1
Pb1 0.000 0.000 0.386 1

***

# 11
# Zr3NbIr, relaxed, DFT PBE
# M_tot: 0.000 μB/cell
# E_tot: -7.78 eV/atom
# distance to the lowest polymorph of the same formula: 3.09 eV/f.u.
# ΔE_f: 5.66 eV per formula unit
data_Zr3NbIr
_chemical_formula_sum 'Zr3 Nb1 Ir1'
_symmetry_space_group_name_H-M 'P m -3 m'
_symmetry_Int_Tables_number 221
_symmetry_space_group_name_Hall '-P 4 2 3'
_cell_length_a 4.955
_cell_length_b 4.955
_cell_length_c 4.955
_cell_angle_alpha 90.00
_cell_angle_beta 90.00
_cell_angle_gamma 90.00
loop_
_atom_site_label
_atom_site_fract_x
_atom_site_fract_y
_atom_site_fract_z
_atom_site_occupancy
Zr1 0.000 0.000 0.500 1
Nb1 0.000 0.000 0.000 1
Ir1 0.500 0.500 0.500 1

***

# 12
# ThReNi, relaxed, DFT PBE
# M_tot: 0.000 μB/cell
# E_tot: -8.56 eV/atom
# ΔE_f: -0.04 eV per formula unit
data_ThReNi
_chemical_formula_sum 'Th3 Re3 Ni3'
_symmetry_space_group_name_H-M 'P -6 2 m'
_symmetry_Int_Tables_number 189
_symmetry_space_group_name_Hall 'P -6 -2'
_cell_length_a 6.9506
_cell_length_b 6.9506
_cell_length_c 4.1185
_cell_angle_alpha 90.00
_cell_angle_beta 90.00
_cell_angle_gamma 120.00
loop_
_atom_site_label
_atom_site_fract_x
_atom_site_fract_y
_atom_site_fract_z
_atom_site_occupancy
Th1 0.0000 0.5922 0.0000 1
Re1 0.0000 0.2224 0.5000 1
Ni1 0.0000 0.0000 0.0000 1
Ni2 0.3333 0.6667 0.5000 1